Density functional theory data (PBE-GGA) for crystalline CdNiN3 at its relaxed geometry.

Output
Uncorrected formation energy = 2.882 eV/atom

a b c (Å): 4.092 4.092 4.092
angles (deg): 90.00 90.00 90.00
Space group Pm-3m (No. 221)
Inequivalent atoms, fractional coordinates:
Cd (0.000, 0.000, 0.000) x1
Ni (0.500, 0.500, 0.500) x1
N (0.000, 0.000, 0.500) x3